# GGA-PBE Cs2Cd6GaAu, optimized geometry
# M_tot: 0.000 μB/atom
# E_tot: -1.45 eV/atom
# energy of formation from the pure elements: -95 meV/atom
# SG: C2/m, No. 12
# crystal system: monoclinic
data_Cs2Cd6GaAu
_symmetry_space_group_name_H-M 'P 1'
_symmetry_Int_Tables_number 1
_symmetry_space_group_name_Hall 'P 1'
_cell_length_a 7.923
_cell_length_b 7.520
_cell_length_c 7.511
_cell_angle_alpha 59.94
_cell_angle_beta 62.06
_cell_angle_gamma 90.00
loop_
_atom_site_label
_atom_site_type_symbol
_atom_site_fract_x
_atom_site_fract_y
_atom_site_fract_z
Cs1 Cs 0.882 0.294 0.411
Cs2 Cs 0.118 0.706 0.589
Cd1 Cd 0.340 0.250 0.499
Cd2 Cd 0.663 0.751 0.086
Cd3 Cd 0.337 0.837 0.914
Cd4 Cd 0.663 0.163 0.086
Cd5 Cd 0.337 0.249 0.914
Cd6 Cd 0.660 0.750 0.501
Ga1 Ga 0.000 0.000 0.000
Au1 Au 0.500 0.500 0.000



# GGA-PBE TaMoOs2, optimized geometry
# M_tot: 0.106 μB/atom
# E_tot: -11.12 eV/atom
# energy relative to the lowest polymorph listed for this composition: 198 meV/atom
# energy of formation from the pure elements: 165 meV/atom
# SG: F-43m, No. 216
# crystal system: cubic
data_TaMoOs2
_symmetry_space_group_name_H-M 'P 1'
_symmetry_Int_Tables_number 1
_symmetry_space_group_name_Hall 'P 1'
_cell_length_a 4.461
_cell_length_b 4.461
_cell_length_c 4.461
_cell_angle_alpha 60.00
_cell_angle_beta 60.00
_cell_angle_gamma 60.00
loop_
_atom_site_label
_atom_site_type_symbol
_atom_site_fract_x
_atom_site_fract_y
_atom_site_fract_z
Mo1 Mo 0.500 0.500 0.500
Os1 Os 0.000 0.000 0.000
Os2 Os 0.250 0.250 0.250
Ta1 Ta 0.750 0.750 0.750



# GGA-PBE SrCaAg, optimized geometry
# M_tot: 0.000 μB/atom
# E_tot: -2.37 eV/atom
# energy relative to the lowest polymorph listed for this composition: 34 meV/atom
# energy of formation from the pure elements: -196 meV/atom
# SG: Fmm2, No. 42
# crystal system: orthorhombic
data_SrCaAg
_symmetry_space_group_name_H-M 'P 1'
_symmetry_Int_Tables_number 1
_symmetry_space_group_name_Hall 'P 1'
_cell_length_a 7.426
_cell_length_b 7.423
_cell_length_c 3.858
_cell_angle_alpha 74.98
_cell_angle_beta 74.90
_cell_angle_gamma 30.12
loop_
_atom_site_label
_atom_site_type_symbol
_atom_site_fract_x
_atom_site_fract_y
_atom_site_fract_z
Sr1 Sr 0.639 0.639 0.361
Ca1 Ca 0.369 0.369 0.631
Ag1 Ag 0.992 0.992 0.008



# GGA-PBE FeCu2Hg, optimized geometry
# M_tot: 0.752 μB/atom
# E_tot: -3.90 eV/atom
# energy relative to the lowest polymorph listed for this composition: 79 meV/atom
# energy of formation from the pure elements: 341 meV/atom
# SG: F-43m, No. 216
# crystal system: cubic
data_FeCu2Hg
_symmetry_space_group_name_H-M 'P 1'
_symmetry_Int_Tables_number 1
_symmetry_space_group_name_Hall 'P 1'
_cell_length_a 4.351
_cell_length_b 4.351
_cell_length_c 4.351
_cell_angle_alpha 60.00
_cell_angle_beta 60.00
_cell_angle_gamma 60.00
loop_
_atom_site_label
_atom_site_type_symbol
_atom_site_fract_x
_atom_site_fract_y
_atom_site_fract_z
Cu1 Cu 0.000 0.000 0.000
Cu2 Cu 0.750 0.750 0.750
Fe1 Fe 0.500 0.500 0.500
Hg1 Hg 0.250 0.250 0.250